DFT (PBE+U) results for a geometry-optimized TaMn2WO structure.

Geometry as extended XYZ:
```
5
Lattice="-4.429 0.823 -2.259 -2.345 -1.532 4.039 -0.028 4.717 1.773" Properties=species:S:1:pos:R:3 pbc="T T T"
Ta -1.172 -0.766 2.019
O -3.401 2.004 1.777
W 0.000 0.000 0.000
Mn -2.214 0.412 -1.130
Mn -0.014 2.359 0.887
```

Output
Volume (Å³/cell): 125
M_tot (μB per formula unit): 7.77
Calculated total energy (eV per atom): -5.771
DOS at the Fermi energy (states/eV per atom): 0.72